(1)
Here is a geometry-optimized Re3Pt structure from Alexandria. Energies are from PBE.

Cell lengths 4.9631, 4.9631, 4.9631 Å; angles 90.00, 90.00, 90.00 degrees
Element x y z (fractional)
Re (0.0000, 0.2500, 0.5000)
Re (0.0000, 0.7500, 0.5000)
Re (0.2500, 0.5000, 0.0000)
Re (0.5000, 0.0000, 0.2500)
Re (0.5000, 0.0000, 0.7500)
Re (0.7500, 0.5000, 0.0000)
Pt (0.0000, 0.0000, 0.0000)
Pt (0.5000, 0.5000, 0.5000)

Properties
ΔE_f	0.21	eV/atom
N(E_F)	1.087	states/eV/atom
size of the total moment	0.003	μB per cell

(2)
Here is a geometry-optimized Re3Pt2 structure from Alexandria. Energies are from PBE.

Cell lengths 11.4537, 11.4537, 11.4537 Å; angles 13.91, 13.91, 13.91 degrees
Element x y z (fractional)
Re (0.0000, 0.0000, 0.0000)
Re (0.8017, 0.8017, 0.8017)
Re (0.1983, 0.1983, 0.1983)
Pt (0.6006, 0.6006, 0.6006)
Pt (0.3994, 0.3994, 0.3994)

Properties
ΔE_f	-0.02	eV/atom
offset from the most stable computed form	0.0	meV/atom
N(E_F)	0.926	states/eV/atom
size of the total moment	0.000	μB per cell

(3)
Here is a geometry-optimized RePt4 structure from Alexandria. Energies are from PBE.

Cell lengths 5.0212, 5.0212, 5.0212 Å; angles 109.47, 109.47, 109.47 degrees
Element x y z (fractional)
Re (0.0000, 0.0000, 0.0000)
Pt (0.5000, 0.0000, 0.0000)
Pt (0.5000, 0.5000, 0.5000)
Pt (0.0000, 0.5000, 0.0000)
Pt (0.0000, 0.0000, 0.5000)

Properties
ΔE_f	0.57	eV/atom
offset from the most stable computed form	678.1	meV/atom
N(E_F)	0.886	states/eV/atom
size of the total moment	0.000	μB per cell

(4)
Here is a geometry-optimized RePt structure from Alexandria. Energies are from PBE.

Cell lengths 2.7596, 4.4749, 4.8923 Å; angles 90.00, 89.99, 90.00 degrees
Element x y z (fractional)
Pt (0.1247, 0.0000, 0.9647)
Pt (0.1253, 0.5000, 0.2853)
Re (0.6249, 0.5000, 0.7782)
Re (0.6251, 0.0000, 0.4718)

Properties
ΔE_f	-0.07	eV/atom
offset from the most stable computed form	54.5	meV/atom
N(E_F)	0.812	states/eV/atom
size of the total moment	0.002	μB per cell

The calculation returns the following calculated density values, one per record and in order: 20.5; 20.8; 16.5; 21.0 g/cm³.